Material: CsRuN2O
Method: DFT, PBE
State: optimized geometry

**E**: -3.47 eV/atom

Cell: 4.3789 4.3789 4.3788 Å, 90.00 90.00 90.00°
Last column: nearest neighbours and their distance in Å.
Sites, in units of the cell vectors:
Cs  0.0000  0.0000  0.0000  2 O 2.19, 4 N 2.19
Ru  0.5000  0.5000  0.5000  8 N 3.10, 4 O 3.10
N  0.0000  0.5000  0.0000  2 Cs 2.19
N  0.5000  0.0000  0.0000  2 Cs 2.19
O  0.0000  0.0000  0.5000  2 Cs 2.19